[1]
First-principles (GGA-PBE) data for a geometry-optimized MgCdIn2Rh structure, as listed in Alexandria.

Values from the calculation:
* energy of formation: -0.100 eV/atom
* D(E_F): 2.464 states/eV per cell

Lattice parameters (Å, degrees): 5.1466 5.1466 5.0249 90.00 90.00 90.00
With the nearest neighbours (Å) after each atom.
Space group P4/mmm (No. 123)
Asymmetric unit:
Mg  0.0000  0.0000  0.0000  2 Rh 2.51
Cd  0.5000  0.5000  0.0000  8 In 3.60, 4 Mg 3.64
In  0.0000  0.5000  0.5000  2 Rh 2.57
Rh  0.0000  0.0000  0.5000  2 Mg 2.51, 4 In 2.57

[2]
First-principles (GGA-PBE) data for a geometry-optimized MgCdInRh structure, as listed in Alexandria.

Values from the calculation:
* energy of formation: -0.189 eV/atom
* D(E_F): 3.241 states/eV per cell

Lattice parameters (Å, degrees): 3.0059 4.5337 13.3208 90.00 90.00 90.00
With the nearest neighbours (Å) after each atom.
Space group Amm2 (No. 38)
Asymmetric unit:
Mg  0.0000  0.0000  0.0000  2 Rh 2.68
Cd  0.0000  0.0000  0.3493  2 Rh 2.87, 2 Cd 3.01, 2 Mg 3.03
In  0.0000  0.0000  0.6682  4 Rh 2.72, 2 In 3.01
Rh  0.5000  0.0000  0.1662  2 Mg 2.68, 4 In 2.72, 2 Cd 2.87

Question: Among the records above, which one has the lowest energy of formation?
Answer: MgCdInRh

Question: Which of these has the lowest energy of formation?
Answer: MgCdInRh

Question: Among the records above, which one has the lowest D(E_F)?
Answer: MgCdIn2Rh